The following is a DFT calculation (PBE) of a relaxed structure of DyZn2Pb.

Cell and atoms, written as CIF:
```
data_DyZn2Pb
_space_group_name_H-M_alt 'P 1'
_space_group_IT_number 1
_space_group_name_Hall 'P 1'
_cell_length_a 4.422
_cell_length_b 4.422
_cell_length_c 4.460
_cell_angle_alpha 90.00
_cell_angle_beta 90.00
_cell_angle_gamma 90.00
loop_
_atom_site_label
_atom_site_fract_x
_atom_site_fract_y
_atom_site_fract_z
_atom_site_occupancy
Dy1 0.000 0.000 0.000 1
Zn1 0.000 0.500 0.500 1
Zn2 0.500 0.000 0.500 1
Pb1 0.500 0.500 0.000 1
```

Properties
As for the space group: P4/mmm. As for the density of states at the Fermi level: 2.0 states/eV per cell. The energy comes out at -11.91 eV/f.u. For the formation energy from the elements, the calculation gives -1.05 eV per formula unit.